No. 1
! InCu2Ru, single point on PBEsol structure, DFT meta-GGA SCAN; values from VASP
&SYSTEM
  ibrav = 0, nat = 4, ntyp = 3
/
ATOMIC_SPECIES
In 114.82 In.upf
Cu 63.55 Cu.upf
Ru 101.07 Ru.upf
CELL_PARAMETERS angstrom
2.762 0.000 0.000
0.000 4.364 0.000
-0.380 0.000 4.793
ATOMIC_POSITIONS angstrom
In 0.000 0.000 0.000
Cu 0.321 2.182 3.481
Cu 2.062 2.182 1.313
Ru 1.191 0.000 2.397
! Space group: No. 10
! Energy of formation (eV/atom): 0.28
! M_tot (μB/atom): 0.24

No. 2
! KTe2Rh2, single point on PBEsol structure, DFT meta-GGA SCAN; values from VASP
&SYSTEM
  ibrav = 0, nat = 5, ntyp = 3
/
ATOMIC_SPECIES
K 39.10 K.upf
Te 127.60 Te.upf
Rh 102.91 Rh.upf
CELL_PARAMETERS angstrom
-2.045 2.045 7.173
2.045 -2.045 7.173
2.045 2.045 -7.173
ATOMIC_POSITIONS angstrom
K 0.000 0.000 0.000
Te 0.000 0.000 5.182
Te 0.000 0.000 9.164
Rh 2.045 0.000 3.587
Rh 0.000 2.045 3.587
! Space group: No. 139
! M_tot (μB/atom): 0.00
! ΔE_f (raw) (eV per atom): -0.5646

No. 3
! RbTlS2, single point on PBEsol structure, DFT meta-GGA SCAN; values from VASP
&SYSTEM
  ibrav = 0, nat = 8, ntyp = 3
/
ATOMIC_SPECIES
Rb 85.47 Rb.upf
Tl 204.38 Tl.upf
S 32.06 S.upf
CELL_PARAMETERS angstrom
-3.750 3.750 4.326
3.750 -3.750 4.326
3.750 3.750 -4.326
ATOMIC_POSITIONS angstrom
Rb 0.000 0.000 0.000
Rb 0.000 3.750 2.163
Tl 3.750 0.000 2.163
Tl 0.000 0.000 4.326
S 1.875 -1.309 3.245
S 2.442 1.875 1.082
S 1.875 5.059 -1.082
S 1.309 1.875 5.408
! Space group: No. 122
! Polymorph energy (0 for the lowest one) (meV/atom): 0
! M_tot (μB/atom): 0.00
! ΔE_f (raw) (eV per atom): -0.7164

No. 4
! NaH6CN2ClO2, single point on PBEsol structure, DFT meta-GGA SCAN; values from VASP
&SYSTEM
  ibrav = 0, nat = 26, ntyp = 6
/
ATOMIC_SPECIES
Na 22.99 Na.upf
H 1.01 H.upf
C 12.01 C.upf
N 14.01 N.upf
Cl 35.45 Cl.upf
O 16.00 O.upf
CELL_PARAMETERS angstrom
9.264 -2.497 0.000
9.264 2.497 0.000
-2.267 0.000 6.108
ATOMIC_POSITIONS angstrom
Na -0.573 0.000 1.626
Na 16.833 0.000 4.481
H 1.236 0.212 5.577
H 3.640 0.502 2.282
H 4.860 0.027 3.476
H 2.913 -0.337 5.338
H 6.262 0.316 5.857
H 7.417 -0.083 2.795
H 9.999 0.316 0.251
H 8.844 -0.083 3.313
H 12.620 0.502 3.825
H 11.401 0.027 2.632
H 15.025 0.212 0.531
H 13.348 -0.337 0.770
C 5.483 1.409 2.087
C 10.777 1.409 4.021
N 4.575 0.617 2.687
N 1.931 -0.324 5.046
N 11.686 0.617 3.421
N 14.330 -0.324 1.062
Cl 5.065 -1.326 5.330
Cl 11.196 -1.326 0.777
O 6.694 1.443 2.480
O 9.567 1.443 3.628
O 9.264 0.938 0.000
O 8.130 -0.735 3.054
! Space group: No. 5
! Raw total energy (eV/cell): -171.77
! M_tot (μB/atom): 0.00

No. 5
! TlSbIr2, single point on PBEsol structure, DFT meta-GGA SCAN; values from VASP
&SYSTEM
  ibrav = 0, nat = 4, ntyp = 3
/
ATOMIC_SPECIES
Tl 204.38 Tl.upf
Sb 121.76 Sb.upf
Ir 192.22 Ir.upf
CELL_PARAMETERS angstrom
4.529 0.000 0.000
0.000 3.186 0.000
-2.238 0.000 5.010
ATOMIC_POSITIONS angstrom
Tl 0.000 0.000 0.000
Sb 1.145 1.593 2.505
Ir -1.119 0.000 2.505
Ir 2.265 1.593 0.000
! Space group: No. 10
! Polymorph energy (0 for the lowest one) (meV/atom): 159
! M_tot (μB/atom): 0.00
! ΔE_f (raw) (eV per atom): 0.5346

No. 6
! As2PbAu, single point on PBEsol structure, DFT meta-GGA SCAN; values from VASP
&SYSTEM
  ibrav = 0, nat = 4, ntyp = 3
/
ATOMIC_SPECIES
As 74.92 As.upf
Pb 207.20 Pb.upf
Au 196.97 Au.upf
CELL_PARAMETERS angstrom
1.990 1.149 6.464
-1.990 1.149 6.464
0.000 -2.297 6.464
ATOMIC_POSITIONS angstrom
As 0.000 0.000 4.508
As 0.000 0.000 14.884
Pb 0.000 0.000 0.000
Au 0.000 0.000 9.696
! Space group: No. 166
! Energy of formation (eV/atom): 0.01
! M_tot (μB/atom): 0.00

No. 7
! Pt2Au, single point on PBEsol structure, DFT meta-GGA SCAN; values from VASP
&SYSTEM
  ibrav = 0, nat = 6, ntyp = 2
/
ATOMIC_SPECIES
Pt 195.08 Pt.upf
Au 196.97 Au.upf
CELL_PARAMETERS angstrom
2.752 0.000 0.000
-1.370 5.303 0.000
-0.004 -2.045 6.442
ATOMIC_POSITIONS angstrom
Pt 0.000 0.000 0.000
Pt -0.009 -0.651 4.001
Pt 0.002 2.178 4.308
Pt 1.376 1.025 2.192
Au -0.002 3.547 1.856
Au 1.369 0.435 6.142
! Space group: No. 1
! Polymorph energy (0 for the lowest one) (meV/atom): 48
! Energy of formation (eV/atom): 0.13
! M_tot (μB/atom): 0.00

No. 8
! Y2HgAu, single point on PBEsol structure, DFT meta-GGA SCAN; values from VASP
&SYSTEM
  ibrav = 0, nat = 4, ntyp = 3
/
ATOMIC_SPECIES
Y 88.91 Y.upf
Hg 200.59 Hg.upf
Au 196.97 Au.upf
CELL_PARAMETERS angstrom
5.088 0.000 0.000
0.000 5.088 0.000
0.000 0.000 3.604
ATOMIC_POSITIONS angstrom
Y 0.000 2.544 0.000
Y 2.544 0.000 0.000
Hg 0.000 0.000 1.802
Au 2.544 2.544 1.802
! Space group: No. 123
! Energy of formation (eV/atom): -0.94
! M_tot (μB/atom): 0.00